(1)
## LaDyAs2O8 (PBE)

Data for crystalline LaDyAs2O8 at its relaxed geometry.

D(E_F) (states/eV per atom): 0.00
Raw formation energy (eV/atom): -2.346
Crystal system: tetragonal
Final energy (eV per cell): -86.64

Unit cell a=6.872 b=6.872 c=6.872 alpha=136.06 beta=136.06 gamma=63.89
Fractional coordinates of all 12 atoms:
La  0.000  0.000  0.000
Dy  0.250  0.750  0.500
As  0.500  0.500  0.000
As  0.750  0.250  0.500
O  0.287  0.669  0.117
O  0.331  0.448  0.617
O  0.426  0.025  0.102
O  0.552  0.170  0.883
O  0.675  0.574  0.599
O  0.830  0.713  0.383
O  0.924  0.325  0.898
O  0.975  0.076  0.401

(2)
## AuCCl3 (PBE)

Data for crystalline AuCCl3 at its relaxed geometry.

D(E_F) (states/eV per atom): 1.80
Raw formation energy (eV/atom): 1.408
Crystal system: cubic
Final energy (eV per cell): -11.00

Unit cell a=4.982 b=4.982 c=4.982 alpha=90.00 beta=90.00 gamma=90.00
Fractional coordinates of all 5 atoms:
Au  0.000  0.000  0.000
C  0.500  0.500  0.500
Cl  0.000  0.000  0.500
Cl  0.000  0.500  0.000
Cl  0.500  0.000  0.000

(3)
## AcTl4In (PBE)

Data for crystalline AcTl4In at its relaxed geometry.

D(E_F) (states/eV per atom): 0.88
Crystal system: cubic
Final energy (eV per cell): -16.60

Unit cell a=6.460 b=6.460 c=6.460 alpha=60.00 beta=60.00 gamma=60.00
Fractional coordinates of all 6 atoms:
Ac  0.000  0.000  0.000
Tl  0.375  0.375  0.375
Tl  0.375  0.375  0.874
Tl  0.375  0.874  0.375
Tl  0.874  0.375  0.375
In  0.750  0.750  0.750

(4)
## CeEuZn (PBE)

Data for crystalline CeEuZn at its relaxed geometry.

D(E_F) (states/eV per atom): 2.32
Crystal system: tetragonal
Final energy (eV per cell): -17.67

Unit cell a=6.816 b=6.816 c=6.816 alpha=148.46 beta=148.46 gamma=45.21
Fractional coordinates of all 3 atoms:
Ce  0.000  0.000  0.000
Eu  0.716  0.716  0.000
Zn  0.367  0.367  0.000

(5)
## ZnNiIr (PBE)

Data for crystalline ZnNiIr at its relaxed geometry.

D(E_F) (states/eV per atom): 1.29
Crystal system: tetragonal
Final energy (eV per cell): -30.43

Unit cell a=6.684 b=6.684 c=6.684 alpha=148.53 beta=148.53 gamma=45.10
Fractional coordinates of all 6 atoms:
Zn  0.000  0.500  0.500
Zn  0.500  0.000  0.500
Ni  0.138  0.138  0.000
Ni  0.862  0.862  0.000
Ir  0.334  0.334  0.000
Ir  0.666  0.666  0.000

(6)
## CoW2Cl (PBE)

Data for crystalline CoW2Cl at its relaxed geometry.

D(E_F) (states/eV per atom): 1.37
Raw formation energy (eV/atom): 1.194
Crystal system: tetragonal
Final energy (eV per cell): -30.08

Unit cell a=4.896 b=4.896 c=4.896 alpha=134.11 beta=134.11 gamma=66.91
Fractional coordinates of all 4 atoms:
Co  0.000  0.000  0.000
W  0.250  0.750  0.500
W  0.500  0.500  0.000
Cl  0.750  0.250  0.500

(7)
## BaAl2ZnRh (PBE)

Data for crystalline BaAl2ZnRh at its relaxed geometry.

D(E_F) (states/eV per atom): 0.68
Crystal system: tetragonal
Final energy (eV per cell): -20.33

Unit cell a=4.798 b=4.798 c=4.995 alpha=90.00 beta=90.00 gamma=90.00
Fractional coordinates of all 5 atoms:
Ba  0.000  0.000  0.000
Al  0.000  0.500  0.500
Al  0.500  0.000  0.500
Zn  0.500  0.500  0.000
Rh  0.500  0.500  0.500

(8)
## BaPd3Ru (PBE)

Data for crystalline BaPd3Ru at its relaxed geometry.

D(E_F) (states/eV per atom): 1.46
Crystal system: cubic
Final energy (eV per cell): -25.06

Unit cell a=4.961 b=4.961 c=4.961 alpha=90.00 beta=90.00 gamma=90.00
Fractional coordinates of all 5 atoms:
Ba  0.000  0.000  0.000
Pd  0.000  0.500  0.500
Pd  0.500  0.000  0.500
Pd  0.500  0.500  0.000
Ru  0.500  0.500  0.500

Q: What is the final energy in the seventh record?
A: -20.33 eV per cell

Q: The highest D(E_F) belongs to which entry?
A: CeEuZn